Entry 1:
A geometry-optimized K2ScFe structure, computed with PBE.

Output
Volume = 369.4 Å³/cell
Energy relative to the elements = 1.049 eV/atom
Total magnetic moment = 0.907 μB per atom

a b c (Å): 3.3696 3.3696 37.5612
angles (deg): 90.00 90.00 120.00
With the nearest neighbours (Å) after each atom.
Space group R-3m (No. 166, hexagonal axes)
Inequivalent atoms, fractional coordinates:
K (0.0000, 0.0000, 0.2412)  6 K 3.37, 3 Fe 3.41
Sc (0.0000, 0.0000, 0.0000)  6 Sc 3.37
Fe (0.0000, 0.0000, 0.5000)  6 Fe 3.37, 6 K 3.41



Entry 2:
A geometry-optimized K2ScFe structure, computed with PBE.

Output
Volume = 289.6 Å³/cell
Energy relative to the elements = 0.751 eV/atom
Total magnetic moment = 0.327 μB per atom

a b c (Å): 3.4103 6.5108 13.0413
angles (deg): 90.00 90.00 90.00
With the nearest neighbours (Å) after each atom.
Space group Imm2 (No. 44)
Inequivalent atoms, fractional coordinates:
K (0.0000, 0.0000, 0.0000)  2 K 3.41, 4 Fe 3.71
K (0.0000, 0.5000, 0.1923)  2 K 3.41, 2 Fe 3.48
Sc (0.0000, 0.5000, 0.8243)  2 Fe 2.46
Fe (0.0000, 0.0000, 0.4599)  2 Sc 2.46



Entry 3:
A geometry-optimized KScFe2 structure, computed with PBE.

Output
Volume = 371.0 Å³/cell
Energy relative to the elements = 1.270 eV/atom
Total magnetic moment = 0.000 μB per atom

a b c (Å): 4.5545 4.5545 17.8831
angles (deg): 90.00 90.00 90.00
With the nearest neighbours (Å) after each atom.
Space group I-42d (No. 122)
Inequivalent atoms, fractional coordinates:
K (0.0000, 0.0000, 0.0000)  4 Sc 3.22, 8 Fe 3.36-3.42
Sc (0.0000, 0.0000, 0.5000)  4 Fe 2.51
Fe (0.0093, 0.7500, 0.6250)  2 Fe 2.28, 2 Sc 2.51



Entry 4:
A geometry-optimized K2ScFe structure, computed with PBE.

Output
Volume = 127.4 Å³/cell
Energy relative to the elements = 1.082 eV/atom
Total magnetic moment = 0.373 μB per atom

a b c (Å): 3.3701 6.0851 6.2110
angles (deg): 90.00 90.00 90.00
With the nearest neighbours (Å) after each atom.
Space group Pmmm (No. 47)
Inequivalent atoms, fractional coordinates:
K (0.0000, 0.2405, 0.0000)  2 K 2.93-3.16
Sc (0.5000, 0.5000, 0.5000)  2 Fe 3.04, 2 Sc 3.37
Fe (0.5000, 0.0000, 0.5000)  2 Sc 3.04, 2 Fe 3.37



Entry 5:
A geometry-optimized KScZn2Fe structure, computed with PBE.

Output
Volume = 136.1 Å³/cell
Energy relative to the elements = 1.758 eV/atom
Total magnetic moment = 0.447 μB per atom

a b c (Å): 5.0888 5.0888 5.2553
angles (deg): 90.00 90.00 90.00
With the nearest neighbours (Å) after each atom.
Space group P4/mmm (No. 123)
Inequivalent atoms, fractional coordinates:
K (0.0000, 0.0000, 0.0000)  4 Zn 2.54, 2 Sc 2.63
Sc (0.0000, 0.0000, 0.5000)  2 K 2.63
Zn (0.0000, 0.5000, 0.0000)  2 K 2.54
Fe (0.5000, 0.5000, 0.5000)  4 Sc 3.60, 8 Zn 3.66



Entry 6:
A geometry-optimized KZrScFe2 structure, computed with PBE.

Output
Volume = 99.7 Å³/cell
Energy relative to the elements = 1.577 eV/atom
Total magnetic moment = 0.000 μB per atom

a b c (Å): 4.5443 4.5443 4.8278
angles (deg): 90.00 90.00 90.00
With the nearest neighbours (Å) after each atom.
Space group P4/mmm (No. 123)
Inequivalent atoms, fractional coordinates:
K (0.0000, 0.0000, 0.0000)  2 Sc 2.41
Zr (0.5000, 0.5000, 0.0000)  4 K 3.21, 8 Fe 3.32
Sc (0.0000, 0.0000, 0.5000)  4 Fe 2.27, 2 K 2.41
Fe (0.0000, 0.5000, 0.5000)  2 Sc 2.27